Entry 1:
VASP calculation (SCAN) on a crystal of PPbCl2 relaxed with PBEsol.

Summary:
The symmetry is R-3m (166). The energy above the most stable polymorph in this dataset comes out at 0 meV/atom. The calculation puts the raw total energy at -25.657 eV/atom. As for the uncorrected formation energy: -0.1231 eV per atom.

The structure in extended XYZ format:
```
4
Lattice="1.657 0.956 9.453 -1.657 0.956 9.453 0.000 -1.913 9.453" Properties=species:S:1:pos:R:3 pbc="T T T"
P 0.000 0.000 0.000
Pb 0.000 0.000 14.180
Cl 0.000 0.000 2.284
Cl 0.000 0.000 26.076
```

Entry 2:
VASP calculation (SCAN) on a crystal of AgBi2H2 relaxed with PBEsol.

Summary:
The symmetry is I4/mmm (139). The calculation puts the raw total energy at -38.561 eV/atom.

The structure in extended XYZ format:
```
5
Lattice="-1.752 1.752 6.862 1.752 -1.752 6.862 1.752 1.752 -6.862" Properties=species:S:1:pos:R:3 pbc="T T T"
Ag 0.000 0.000 0.000
Bi 0.000 0.000 5.009
Bi 0.000 0.000 8.714
H 1.752 0.000 3.431
H 0.000 1.752 3.431
```

Entry 3:
VASP calculation (SCAN) on a crystal of Ti2Co relaxed with PBEsol.

Summary:
The symmetry is Fd-3m (227). As for the calculated formation energy: -0.246 eV per atom. The calculation puts the raw total energy at -16.701 eV/atom.

The structure in extended XYZ format:
```
24
Lattice="0.000 5.533 5.533 5.533 0.000 5.533 5.533 5.533 0.000" Properties=species:S:1:pos:R:3 pbc="T T T"
Ti 0.000 0.000 0.000
Ti 2.766 2.766 0.000
Ti 2.766 0.000 2.766
Ti 4.150 4.150 2.078
Ti 4.150 2.078 4.150
Ti 6.221 4.150 4.150
Ti 6.916 6.916 4.845
Ti 6.916 4.845 6.916
Ti 8.987 6.916 6.916
Ti 0.000 2.766 2.766
Ti 2.078 4.150 4.150
Ti 4.150 6.221 4.150
Ti 4.150 4.150 6.221
Ti 4.845 6.916 6.916
Ti 6.916 8.987 6.916
Ti 6.916 6.916 8.987
Co 8.668 5.164 5.164
Co 2.397 2.397 2.397
Co 5.902 5.902 2.397
Co 5.902 2.397 5.902
Co 5.164 8.668 5.164
Co 5.164 5.164 8.668
Co 8.668 8.668 8.668
Co 2.397 5.902 5.902
```